Density functional theory data (PBE) for an optimized crystal structure of LiHoZrAl.

abc: 4.9333 4.9333 4.9333
angles: 60.00 60.00 60.00
Last column: nearest neighbours and their distance in Å.
Element x y z (fractional)
Li (0.0000, 0.0000, 0.0000)  4 Ho 3.02, 4 Zr 3.02
Ho (0.7500, 0.7500, 0.7500)  4 Li 3.02, 4 Al 3.02
Zr (0.2500, 0.2500, 0.2500)  4 Li 3.02, 4 Al 3.02
Al (0.5000, 0.5000, 0.5000)  4 Ho 3.02, 4 Zr 3.02

Values from the calculation:
The formation energy comes out at -138 meV per atom.